1 | Be2CdRe2 | PBE-GGA | relaxed

Geometry as POSCAR:
```
Be2CdRe2
1.0
3.694 0.000 0.000
0.000 3.694 0.000
1.847 1.847 5.327
Re Cd Be
2 1 2
Direct
0.250 0.750 0.500
0.750 0.250 0.500
0.000 0.000 0.000
0.397 0.397 0.207
0.603 0.603 0.793
```

## Properties
Symmetry ... No. 139

=====

2 | Be2CdRe2 | PBE-GGA | relaxed

Geometry as POSCAR:
```
Be2CdRe2
1.0
6.236 0.000 0.000
0.000 6.236 0.000
0.000 0.000 3.259
Be Re Cd
4 4 2
Direct
0.383 0.883 0.000
0.617 0.117 0.000
0.883 0.617 0.000
0.117 0.383 0.000
0.333 0.167 0.500
0.167 0.667 0.500
0.833 0.333 0.500
0.667 0.833 0.500
0.500 0.500 0.000
0.000 0.000 0.000
```

## Properties
Symmetry ... No. 127

=====

What should be chosen as the most stable of them? Choose 2.

=====

1 | Be3CdRe | PBE-GGA | relaxed

Geometry as POSCAR:
```
Be3CdRe
1.0
-3.366 -2.406 -0.757
2.508 -3.327 -0.581
-0.266 -0.916 4.097
Cd Be Re
1 3 1
Direct
0.000 0.000 0.000
0.000 0.000 0.500
0.500 0.000 0.000
0.000 0.500 0.000
0.500 0.500 0.500
```

## Properties
Symmetry ... No. 221

=====

2 | Be3CdRe | PBE-GGA | relaxed

Geometry as POSCAR:
```
Be3CdRe
1.0
-1.532 -1.361 3.783
3.979 -1.089 1.220
0.572 3.933 1.647
Re Be Cd
1 3 1
Direct
0.000 0.000 0.000
0.500 0.000 0.000
0.000 0.000 0.500
0.000 0.500 0.000
0.500 0.500 0.500
```

## Properties
Symmetry ... No. 221

=====

What should be chosen as the most stable of them? Choose 2.

=====

1 | Be2Cd2Rh | PBE-GGA | relaxed

Geometry as POSCAR:
```
Be2Cd2Rh
1.0
-0.010 2.263 5.616
-5.989 0.822 -0.342
-0.576 -3.594 1.447
Be Cd Rh
4 4 2
Direct
0.636 0.136 0.000
0.136 0.364 0.000
0.364 0.864 0.000
0.864 0.636 0.000
0.672 0.828 0.500
0.828 0.328 0.500
0.328 0.172 0.500
0.172 0.672 0.500
0.500 0.500 0.000
0.000 0.000 0.000
```

## Properties
Symmetry ... No. 127

=====

2 | Be2Cd2Rh | PBE-GGA | relaxed

Geometry as POSCAR:
```
Be2Cd2Rh
1.0
3.775 0.000 0.000
0.000 3.775 0.000
1.888 1.888 5.341
Cd Rh Be
2 1 2
Direct
0.250 0.750 0.500
0.750 0.250 0.500
0.000 0.000 0.000
0.409 0.409 0.182
0.591 0.591 0.818
```

## Properties
Symmetry ... No. 139

=====

What should be chosen as the most stable of them? Choose 1.

=====

1 | BeCd3Ru | PBE-GGA | relaxed

Geometry as POSCAR:
```
BeCd3Ru
1.0
-3.704 1.740 -1.964
1.532 -1.326 -4.062
-2.131 -3.978 0.495
Ru Cd Be
1 3 1
Direct
0.500 0.500 0.500
0.000 0.500 0.000
0.500 0.000 0.000
0.000 0.000 0.500
0.000 0.000 0.000
```

## Properties
Symmetry ... No. 221

=====

2 | BeCd3Ru | PBE-GGA | relaxed

Geometry as POSCAR:
```
BeCd3Ru
1.0
-3.793 -3.151 1.503
-0.771 -1.408 -4.898
3.405 -3.829 0.565
Cd Be Ru
3 1 1
Direct
0.000 0.000 0.500
0.000 0.500 0.000
0.500 0.000 0.000
0.500 0.500 0.500
0.000 0.000 0.000
```

## Properties
Symmetry ... No. 221

=====

What should be chosen as the most stable of them? Choose 1.

=====

1 | BeCdRu2 | PBE-GGA | relaxed

Geometry as POSCAR:
```
BeCdRu2
1.0
3.382 -2.271 1.462
1.484 0.667 4.011
-0.575 -3.016 3.050
Ru Be Cd
2 1 1
Direct
0.250 0.250 0.250
0.750 0.750 0.750
0.000 0.000 0.000
0.500 0.500 0.500
```

## Properties
Symmetry ... No. 225

=====

2 | BeCdRu2 | PBE-GGA | relaxed

Geometry as POSCAR:
```
BeCdRu2
1.0
5.177 0.020 0.000
-2.440 4.566 0.000
0.598 1.003 2.467
Be Cd Ru
1 1 2
Direct
0.500 0.000 0.500
0.000 0.500 0.500
0.500 0.500 0.000
0.000 0.000 0.000
```

## Properties
Symmetry ... No. 12

=====

What should be chosen as the most stable of them? Choose 2.

=====

1 | BeCdRu2 | PBE-GGA | relaxed

Geometry as POSCAR:
```
BeCdRu2
1.0
4.015 0.000 0.000
0.000 3.815 0.000
0.000 0.000 3.815
Be Ru Cd
1 2 1
Direct
0.500 0.500 0.000
0.000 0.000 0.000
0.000 0.500 0.500
0.500 0.000 0.500
```

## Properties
Symmetry ... No. 123

=====

2 | BeCdRu2 | PBE-GGA | relaxed

Geometry as POSCAR:
```
BeCdRu2
1.0
2.954 0.000 0.000
0.000 4.465 0.000
0.000 0.000 4.399
Be Ru Cd
1 2 1
Direct
0.500 0.000 0.500
0.000 0.000 0.000
0.500 0.500 0.000
0.000 0.500 0.500
```

## Properties
Symmetry ... No. 47

=====

What should be chosen as the most stable of them? Choose 2.